# 1
First-principles (PBE-GGA) data for crystalline Pr6Ga3N at its relaxed geometry, as listed in Alexandria.

a = 6.645 Å, b = 8.176 Å, c = 10.224 Å
α = 90.00°, β = 84.64°, γ = 90.00°
Element x y z (fractional)
Ga 0.922 0.386 0.758
Ga 0.578 0.886 0.742
Ga 0.078 0.614 0.242
Ga 0.500 0.500 0.000
Ga 0.000 0.000 0.500
Ga 0.422 0.114 0.258
Pr 0.329 0.849 0.054
Pr 0.879 0.715 0.937
Pr 0.646 0.449 0.270
Pr 0.354 0.551 0.730
Pr 0.379 0.785 0.437
Pr 0.621 0.215 0.563
Pr 0.829 0.651 0.554
Pr 0.121 0.285 0.063
Pr 0.171 0.349 0.446
Pr 0.671 0.151 0.946
Pr 0.146 0.051 0.770
Pr 0.854 0.949 0.230
N 0.500 0.500 0.500
N 0.000 0.000 0.000

Output
**Spin magnetization**: 0.000 μB/atom
**Uncorrected formation energy**: -538.4 meV per atom
**Space-group type**: P2_1/c

# 2
First-principles (PBE-GGA) data for crystalline Pr12Ga6N at its relaxed geometry, as listed in Alexandria.

a = 8.256 Å, b = 8.256 Å, c = 8.256 Å
α = 93.98°, β = 93.98°, γ = 93.98°
Element x y z (fractional)
Ga 0.147 0.740 0.350
Ga 0.740 0.350 0.147
Ga 0.260 0.650 0.853
Ga 0.350 0.147 0.740
Ga 0.853 0.260 0.650
Ga 0.650 0.853 0.260
N 0.000 0.000 0.000
Pr 0.963 0.074 0.297
Pr 0.454 0.811 0.579
Pr 0.421 0.546 0.189
Pr 0.189 0.421 0.546
Pr 0.546 0.189 0.421
Pr 0.297 0.963 0.074
Pr 0.926 0.703 0.037
Pr 0.037 0.926 0.703
Pr 0.811 0.579 0.454
Pr 0.703 0.037 0.926
Pr 0.074 0.297 0.963
Pr 0.579 0.454 0.811

Output
**Spin magnetization**: 0.000 μB/atom
**Uncorrected formation energy**: -434.6 meV per atom
**Space-group type**: R-3

# 3
First-principles (PBE-GGA) data for crystalline Pr5Ga2N at its relaxed geometry, as listed in Alexandria.

a = 5.795 Å, b = 7.798 Å, c = 11.463 Å
α = 90.00°, β = 90.00°, γ = 111.81°
Element x y z (fractional)
Pr 0.666 0.333 0.250
Pr 0.069 0.139 0.394
Pr 0.307 0.615 0.407
Pr 0.334 0.667 0.750
Pr 0.307 0.615 0.093
Pr 0.931 0.861 0.894
Pr 0.069 0.139 0.106
Pr 0.931 0.861 0.606
Pr 0.693 0.385 0.593
Pr 0.693 0.385 0.907
Ga 0.144 0.289 0.638
Ga 0.144 0.289 0.862
Ga 0.856 0.711 0.138
Ga 0.856 0.711 0.362
N 0.186 0.372 0.250
N 0.814 0.628 0.750

Output
**Spin magnetization**: 0.000 μB/atom
**Uncorrected formation energy**: -324.2 meV per atom
**Space-group type**: Cmcm

# 4
First-principles (PBE-GGA) data for crystalline PrGaPtN at its relaxed geometry, as listed in Alexandria.

a = 3.952 Å, b = 3.952 Å, c = 9.066 Å
α = 90.00°, β = 90.00°, γ = 90.00°
Element x y z (fractional)
Ga 0.500 0.000 0.670
Ga 0.000 0.500 0.330
Pt 0.000 0.000 0.500
Pt 0.500 0.500 0.500
N 0.000 0.500 0.116
N 0.500 0.000 0.884
Pr 0.500 0.000 0.141
Pr 0.000 0.500 0.859

Output
**Spin magnetization**: 0.000 μB/atom
**Uncorrected formation energy**: -929.3 meV per atom
**Space-group type**: P4/nmm

# 5
First-principles (PBE-GGA) data for crystalline Pr2PuGaN5 at its relaxed geometry, as listed in Alexandria.

a = 3.463 Å, b = 7.293 Å, c = 10.521 Å
α = 90.00°, β = 90.00°, γ = 103.74°
Last column: magnetic moment on the atom in μB.
Element x y z (fractional)
Pr 0.105 0.210 0.686  0.00
Pr 0.129 0.259 0.310  0.01
Pr 0.895 0.790 0.186  0.00
Pr 0.871 0.741 0.810  0.01
Pu 0.791 0.583 0.518  2.62
Pu 0.209 0.417 0.018  2.62
N 0.283 0.565 0.648  -0.15
N 0.691 0.382 0.886  -0.13
N 0.649 0.297 0.503  -0.12
N 0.056 0.112 0.042  -0.08
N 0.351 0.703 0.003  -0.12
N 0.717 0.435 0.148  -0.15
N 0.944 0.888 0.542  -0.08
N 0.495 0.990 0.782  -0.03
N 0.309 0.618 0.386  -0.13
N 0.505 0.010 0.282  -0.03
Ga 0.456 0.911 0.450  0.00
Ga 0.544 0.089 0.950  0.00

Output
**Spin magnetization**: 0.222 μB/atom
**Uncorrected formation energy**: -914.6 meV per atom
**Space-group type**: Cmc2_1

# 6
First-principles (PBE-GGA) data for crystalline PrGaRhN at its relaxed geometry, as listed in Alexandria.

a = 3.936 Å, b = 3.936 Å, c = 8.958 Å
α = 90.00°, β = 90.00°, γ = 90.00°
Element x y z (fractional)
N 0.500 0.000 0.882
N 0.000 0.500 0.118
Ga 0.500 0.000 0.665
Ga 0.000 0.500 0.335
Rh 0.500 0.500 0.500
Rh 0.000 0.000 0.500
Pr 0.000 0.500 0.856
Pr 0.500 0.000 0.144

Output
**Spin magnetization**: 0.000 μB/atom
**Uncorrected formation energy**: -828.1 meV per atom
**Space-group type**: P4/nmm

# 7
First-principles (PBE-GGA) data for crystalline Pr2GaRhN at its relaxed geometry, as listed in Alexandria.

a = 4.060 Å, b = 4.060 Å, c = 12.476 Å
α = 90.00°, β = 90.00°, γ = 90.00°
Element x y z (fractional)
Pr 0.000 0.500 0.093
Pr 0.000 0.500 0.704
Pr 0.500 0.000 0.296
Pr 0.500 0.000 0.907
Rh 0.500 0.500 0.500
Rh 0.000 0.000 0.500
Ga 0.000 0.500 0.382
Ga 0.500 0.000 0.618
N 0.000 0.500 0.905
N 0.500 0.000 0.095

Output
**Spin magnetization**: 0.000 μB/atom
**Uncorrected formation energy**: -843.9 meV per atom
**Space-group type**: P4/nmm

# 8
First-principles (PBE-GGA) data for crystalline Pr2GaRuN at its relaxed geometry, as listed in Alexandria.

a = 3.949 Å, b = 3.949 Å, c = 12.950 Å
α = 90.00°, β = 90.00°, γ = 90.00°
Element x y z (fractional)
Pr 0.000 0.500 0.091
Pr 0.000 0.500 0.714
Pr 0.500 0.000 0.909
Pr 0.500 0.000 0.286
N 0.000 0.500 0.907
N 0.500 0.000 0.093
Ga 0.500 0.000 0.625
Ga 0.000 0.500 0.375
Ru 0.000 0.000 0.500
Ru 0.500 0.500 0.500

Output
**Spin magnetization**: 0.000 μB/atom
**Uncorrected formation energy**: -657.3 meV per atom
**Space-group type**: P4/nmm

# 9
First-principles (PBE-GGA) data for crystalline PrSm2GaN4 at its relaxed geometry, as listed in Alexandria.

a = 3.502 Å, b = 6.153 Å, c = 12.051 Å
α = 90.00°, β = 90.00°, γ = 106.53°
Element x y z (fractional)
N 0.269 0.538 0.127
N 0.000 0.000 0.000
N 0.437 0.874 0.750
N 0.731 0.462 0.627
N 0.731 0.462 0.873
N 0.000 0.000 0.500
N 0.563 0.126 0.250
N 0.269 0.538 0.373
Sm 0.631 0.262 0.044
Sm 0.369 0.738 0.544
Sm 0.631 0.262 0.456
Sm 0.369 0.738 0.956
Pr 0.107 0.214 0.750
Pr 0.893 0.786 0.250
Ga 0.163 0.326 0.250
Ga 0.837 0.674 0.750

Output
**Spin magnetization**: 0.000 μB/atom
**Uncorrected formation energy**: -1085.7 meV per atom
**Space-group type**: Cmcm

# 10
First-principles (PBE-GGA) data for crystalline Pr2SmGaN at its relaxed geometry, as listed in Alexandria.

a = 4.896 Å, b = 5.025 Å, c = 5.025 Å
α = 90.00°, β = 90.00°, γ = 90.00°
Element x y z (fractional)
Sm 0.500 0.000 0.000
Pr 0.000 0.000 0.500
Pr 0.000 0.500 0.000
Ga 0.500 0.500 0.500
N 0.000 0.000 0.000

Output
**Spin magnetization**: 0.000 μB/atom
**Uncorrected formation energy**: -801.2 meV per atom
**Space-group type**: P4/mmm

# 11
First-principles (PBE-GGA) data for crystalline PrSmGaN3 at its relaxed geometry, as listed in Alexandria.

a = 3.525 Å, b = 7.475 Å, c = 7.662 Å
α = 96.82°, β = 90.00°, γ = 90.00°
Element x y z (fractional)
Ga 0.250 0.099 0.604
Ga 0.750 0.901 0.396
N 0.750 0.163 0.501
N 0.250 0.126 0.858
N 0.750 0.396 0.140
N 0.250 0.604 0.860
N 0.750 0.874 0.142
N 0.250 0.837 0.499
Sm 0.250 0.635 0.165
Sm 0.750 0.365 0.835
Pr 0.250 0.170 0.178
Pr 0.750 0.830 0.822

Output
**Spin magnetization**: 0.000 μB/atom
**Uncorrected formation energy**: -892.0 meV per atom
**Space-group type**: P2_1/m

# 12
First-principles (PBE-GGA) data for crystalline Pr4GaSnN at its relaxed geometry, as listed in Alexandria.

a = 6.973 Å, b = 6.982 Å, c = 8.878 Å
α = 90.00°, β = 113.12°, γ = 90.00°
Element x y z (fractional)
Ga 0.616 0.750 0.233
Ga 0.384 0.250 0.767
Pr 0.500 0.500 0.500
Pr 0.420 0.750 0.841
Pr 0.000 0.500 0.500
Pr 0.580 0.250 0.159
Pr 0.000 0.000 0.500
Pr 0.500 0.000 0.500
Pr 0.913 0.250 0.826
Pr 0.087 0.750 0.174
Sn 0.109 0.250 0.218
Sn 0.891 0.750 0.782
N 0.747 0.250 0.495
N 0.253 0.750 0.505

Output
**Spin magnetization**: 0.000 μB/atom
**Uncorrected formation energy**: -739.6 meV per atom
**Space-group type**: Cmcm

# 13
First-principles (PBE-GGA) data for crystalline Pr4TlGaN at its relaxed geometry, as listed in Alexandria.

a = 7.048 Å, b = 7.062 Å, c = 8.730 Å
α = 90.00°, β = 113.81°, γ = 90.00°
Element x y z (fractional)
Pr 0.500 0.500 0.500
Pr 0.500 0.000 0.500
Pr 0.000 0.000 0.500
Pr 0.586 0.250 0.173
Pr 0.414 0.750 0.827
Pr 0.922 0.250 0.844
Pr 0.000 0.500 0.500
Pr 0.078 0.750 0.156
Ga 0.881 0.750 0.761
Ga 0.119 0.250 0.239
Tl 0.388 0.250 0.775
Tl 0.612 0.750 0.225
N 0.251 0.750 0.502
N 0.749 0.250 0.498

Output
**Spin magnetization**: 0.000 μB/atom
**Uncorrected formation energy**: -600.5 meV per atom
**Space-group type**: Cmcm

# 14
First-principles (PBE-GGA) data for crystalline Pr2UGaN5 at its relaxed geometry, as listed in Alexandria.

a = 3.468 Å, b = 7.321 Å, c = 10.487 Å
α = 90.00°, β = 90.00°, γ = 103.70°
Element x y z (fractional)
N 0.298 0.595 0.380
N 0.702 0.405 0.880
N 0.499 0.997 0.786
N 0.943 0.887 0.544
N 0.501 0.003 0.286
N 0.717 0.433 0.136
N 0.283 0.567 0.636
N 0.635 0.270 0.505
N 0.365 0.730 0.005
N 0.057 0.113 0.044
Ga 0.514 0.028 0.971
Ga 0.486 0.972 0.471
Pr 0.893 0.786 0.194
Pr 0.125 0.249 0.300
Pr 0.875 0.751 0.800
Pr 0.107 0.214 0.694
U 0.212 0.425 0.008
U 0.788 0.575 0.508

Output
**Spin magnetization**: 0.000 μB/atom
**Uncorrected formation energy**: -1099.4 meV per atom
**Space-group type**: Cmc2_1

# 15
First-principles (PBE-GGA) data for crystalline Pr2ZnGaN at its relaxed geometry, as listed in Alexandria.

a = 3.899 Å, b = 6.898 Å, c = 8.490 Å
α = 108.03°, β = 90.00°, γ = 90.00°
Element x y z (fractional)
Zn 0.750 0.466 0.249
Zn 0.250 0.534 0.751
Ga 0.750 0.296 0.698
Ga 0.250 0.704 0.302
Pr 0.750 0.810 0.618
Pr 0.750 0.796 0.036
Pr 0.250 0.204 0.964
Pr 0.250 0.190 0.382
N 0.750 0.160 0.169
N 0.250 0.840 0.831

Output
**Spin magnetization**: 0.000 μB/atom
**Uncorrected formation energy**: -713.6 meV per atom
**Space-group type**: P2_1/m

# 16
First-principles (PBE-GGA) data for crystalline GaPt3N at its relaxed geometry, as listed in Alexandria.

a = 4.212 Å, b = 4.212 Å, c = 4.212 Å
α = 90.00°, β = 90.00°, γ = 90.00°
Element x y z (fractional)
N 0.000 0.000 0.000
Pt 0.000 0.000 0.500
Pt 0.500 0.000 0.000
Pt 0.000 0.500 0.000
Ga 0.500 0.500 0.500

Output
**Spin magnetization**: 0.000 μB/atom
**Uncorrected formation energy**: 467.5 meV per atom
**Space-group type**: Pm-3m

# 17
First-principles (PBE-GGA) data for crystalline GaPtN2 at its relaxed geometry, as listed in Alexandria.

a = 6.363 Å, b = 6.363 Å, c = 6.363 Å
α = 27.12°, β = 27.12°, γ = 27.12°
Element x y z (fractional)
Pt 0.000 0.000 0.000
N 0.895 0.895 0.895
N 0.105 0.105 0.105
Ga 0.500 0.500 0.500

Output
**Spin magnetization**: 0.000 μB/atom
**Uncorrected formation energy**: 472.7 meV per atom
**Space-group type**: R-3m

# 18
First-principles (PBE-GGA) data for crystalline GaPt2N at its relaxed geometry, as listed in Alexandria.

a = 4.878 Å, b = 4.878 Å, c = 6.708 Å
α = 68.68°, β = 68.68°, γ = 90.00°
Element x y z (fractional)
Pt 0.524 0.125 0.250
Pt 0.875 0.774 0.750
Pt 0.226 0.625 0.250
Pt 0.375 0.476 0.750
N 0.500 0.500 0.000
N 0.250 0.750 0.500
Ga 0.750 0.250 0.500
Ga 0.000 0.000 0.000

Output
**Spin magnetization**: 0.000 μB/atom
**Uncorrected formation energy**: 224.4 meV per atom
**Space-group type**: I-42d

# 19
First-principles (PBE-GGA) data for crystalline GaPt2N at its relaxed geometry, as listed in Alexandria.

a = 4.242 Å, b = 4.242 Å, c = 4.242 Å
α = 60.00°, β = 60.00°, γ = 60.00°
Element x y z (fractional)
Pt 0.750 0.750 0.750
Pt 0.250 0.250 0.250
Ga 0.500 0.500 0.500
N 0.000 0.000 0.000

Output
**Spin magnetization**: 0.000 μB/atom
**Uncorrected formation energy**: 766.8 meV per atom
**Space-group type**: Fm-3m

# 20
First-principles (PBE-GGA) data for crystalline GaPtN2 at its relaxed geometry, as listed in Alexandria.

a = 4.709 Å, b = 4.709 Å, c = 5.657 Å
α = 65.40°, β = 65.40°, γ = 90.00°
Element x y z (fractional)
N 0.150 0.625 0.250
N 0.375 0.400 0.750
N 0.875 0.850 0.750
N 0.600 0.125 0.250
Pt 0.000 0.000 0.000
Pt 0.750 0.250 0.500
Ga 0.500 0.500 0.000
Ga 0.250 0.750 0.500

Output
**Spin magnetization**: 0.000 μB/atom
**Uncorrected formation energy**: 493.7 meV per atom
**Space-group type**: I-42d